1.
# InNi2Sb PBE optimized geometry
# DFT total energy = -67.44 eV for the cell shown
# V = 17.50 Å³/atom
# Raw formation energy = 0.39 eV/atom
data_InNi2Sb
_chemical_formula_sum 'In4 Ni8 Sb4'
_cell_length_a 6.5421
_cell_length_b 6.5421
_cell_length_c 6.5421
_cell_angle_alpha 90.00
_cell_angle_beta 90.00
_cell_angle_gamma 90.00
_symmetry_space_group_name_H-M 'F -4 3 m'
_symmetry_Int_Tables_number 216
_symmetry_space_group_name_Hall 'F -4 2 3'
loop_
_atom_site_label
_atom_site_fract_x
_atom_site_fract_y
_atom_site_fract_z
In1 0.0000 0.0000 0.0000
Ni1 0.0000 0.0000 0.5000
Ni2 0.2500 0.2500 0.2500
Sb1 0.2500 0.2500 0.7500

2.
# InNi2Sb2 PBE optimized geometry
# DFT total energy = -43.50 eV for the cell shown
# V = 20.18 Å³/atom
# Raw formation energy = 0.16 eV/atom
data_InNi2Sb2
_chemical_formula_sum 'In2 Ni4 Sb4'
_cell_length_a 8.1267
_cell_length_b 8.1267
_cell_length_c 3.0550
_cell_angle_alpha 90.00
_cell_angle_beta 90.00
_cell_angle_gamma 90.00
_symmetry_space_group_name_H-M 'P 4/m b m'
_symmetry_Int_Tables_number 127
_symmetry_space_group_name_Hall '-P 4 2ab'
loop_
_atom_site_label
_atom_site_fract_x
_atom_site_fract_y
_atom_site_fract_z
In1 0.0000 0.0000 0.0000
Ni1 0.1173 0.3827 0.5000
Sb1 0.1521 0.6521 0.0000

3.
# InNi4Sb PBE optimized geometry
# DFT total energy = -123.81 eV for the cell shown
# V = 14.51 Å³/atom
# Raw formation energy = -0.16 eV/atom
data_InNi4Sb
_chemical_formula_sum 'In4 Ni16 Sb4'
_cell_length_a 3.7709
_cell_length_b 17.7803
_cell_length_c 5.1953
_cell_angle_alpha 90.00
_cell_angle_beta 90.00
_cell_angle_gamma 90.00
_symmetry_space_group_name_H-M 'C m c m'
_symmetry_Int_Tables_number 63
_symmetry_space_group_name_Hall '-C 2c 2'
loop_
_atom_site_label
_atom_site_fract_x
_atom_site_fract_y
_atom_site_fract_z
In1 0.0000 0.2295 0.2500
Ni1 0.0000 0.0701 0.2500
Ni2 0.0000 0.3580 0.5140
Ni3 0.0000 0.5000 0.0000
Sb1 0.0000 0.0805 0.7500

4.
# InNiSb2 PBE optimized geometry
# DFT total energy = -34.23 eV for the cell shown
# V = 24.89 Å³/atom
# Raw formation energy = -0.09 eV/atom
data_InNiSb2
_chemical_formula_sum 'In2 Ni2 Sb4'
_cell_length_a 5.1385
_cell_length_b 9.5920
_cell_length_c 4.0406
_cell_angle_alpha 90.00
_cell_angle_beta 90.00
_cell_angle_gamma 90.00
_symmetry_space_group_name_H-M 'C m m m'
_symmetry_Int_Tables_number 65
_symmetry_space_group_name_Hall '-C 2 2'
loop_
_atom_site_label
_atom_site_fract_x
_atom_site_fract_y
_atom_site_fract_z
In1 0.0000 0.0000 0.0000
Ni1 0.0000 0.5000 0.0000
Sb1 0.0000 0.3329 0.5000

5.
# InNi2Sb PBE optimized geometry
# DFT total energy = -37.72 eV for the cell shown
# V = 16.70 Å³/atom
# Raw formation energy = -0.11 eV/atom
data_InNi2Sb
_chemical_formula_sum 'In2 Ni4 Sb2'
_cell_length_a 3.9848
_cell_length_b 3.4469
_cell_length_c 9.7240
_cell_angle_alpha 90.00
_cell_angle_beta 90.00
_cell_angle_gamma 90.00
_symmetry_space_group_name_H-M 'A m m 2'
_symmetry_Int_Tables_number 38
loop_
_symmetry_equiv_pos_as_xyz
'x,y,z'
'-x,-y,z'
'-x,y,z'
'x,-y,z'
'x,y+1/2,z+1/2'
'-x,-y+1/2,z+1/2'
'-x,y+1/2,z+1/2'
'x,-y+1/2,z+1/2'
loop_
_atom_site_label
_atom_site_fract_x
_atom_site_fract_y
_atom_site_fract_z
In1 0.0000 0.0000 0.0000
Ni1 0.0000 0.0000 0.7230
Ni2 0.5000 0.0000 0.5651
Sb1 0.5000 0.0000 0.2849

6.
# InNi2Sb2 PBE optimized geometry
# DFT total energy = -44.72 eV for the cell shown
# V = 18.87 Å³/atom
# Raw formation energy = 0.04 eV/atom
data_InNi2Sb2
_chemical_formula_sum 'In2 Ni4 Sb4'
_cell_length_a 7.1213
_cell_length_b 7.1213
_cell_length_c 3.7219
_cell_angle_alpha 90.00
_cell_angle_beta 90.00
_cell_angle_gamma 90.00
_symmetry_space_group_name_H-M 'P 4/m b m'
_symmetry_Int_Tables_number 127
_symmetry_space_group_name_Hall '-P 4 2ab'
loop_
_atom_site_label
_atom_site_fract_x
_atom_site_fract_y
_atom_site_fract_z
In1 0.0000 0.0000 0.0000
Ni1 0.1275 0.3725 0.0000
Sb1 0.1626 0.6626 0.5000

7.
# In2NiSnSb PBE optimized geometry
# DFT total energy = -19.14 eV for the cell shown
# V = 25.43 Å³/atom
# Raw formation energy = 0.05 eV/atom
data_In2NiSnSb
_chemical_formula_sum 'In2 Ni1 Sn1 Sb1'
_cell_length_a 5.0162
_cell_length_b 5.0162
_cell_length_c 5.0530
_cell_angle_alpha 90.00
_cell_angle_beta 90.00
_cell_angle_gamma 90.00
_symmetry_space_group_name_H-M 'P 4/m m m'
_symmetry_Int_Tables_number 123
_symmetry_space_group_name_Hall '-P 4 2'
loop_
_atom_site_label
_atom_site_fract_x
_atom_site_fract_y
_atom_site_fract_z
In1 0.0000 0.5000 0.0000
Ni1 0.0000 0.0000 0.0000
Sn1 0.0000 0.0000 0.5000
Sb1 0.5000 0.5000 0.5000

8.
# In2Ni7Sn2Sb PBE optimized geometry
# DFT total energy = -116.56 eV for the cell shown
# V = 16.61 Å³/atom
# Raw formation energy = -0.02 eV/atom
data_In2Ni7Sn2Sb
_chemical_formula_sum 'In4 Ni14 Sn4 Sb2'
_cell_length_a 5.2405
_cell_length_b 5.1826
_cell_length_c 14.7801
_cell_angle_alpha 90.00
_cell_angle_beta 96.75
_cell_angle_gamma 90.00
_symmetry_space_group_name_H-M 'C 1 2/m 1'
_symmetry_Int_Tables_number 12
loop_
_symmetry_equiv_pos_as_xyz
'x,y,z'
'-x,-y,-z'
'-x,y,-z'
'x,-y,z'
'x+1/2,y+1/2,z'
'-x+1/2,-y+1/2,-z'
'-x+1/2,y+1/2,-z'
'x+1/2,-y+1/2,z'
loop_
_atom_site_label
_atom_site_fract_x
_atom_site_fract_y
_atom_site_fract_z
In1 0.0846 0.0000 0.2543
Ni1 0.0000 0.0000 0.0000
Ni2 0.1375 0.0000 0.4352
Ni3 0.2086 0.2499 0.8752
Sn1 0.1239 0.5000 0.3976
Sb1 0.0000 0.5000 0.0000

9.
# In2Ni7SnSb2 PBE optimized geometry
# DFT total energy = -116.80 eV for the cell shown
# V = 16.60 Å³/atom
# Raw formation energy = -0.02 eV/atom
data_In2Ni7SnSb2
_chemical_formula_sum 'In4 Ni14 Sn2 Sb4'
_cell_length_a 5.2236
_cell_length_b 5.1791
_cell_length_c 14.8299
_cell_angle_alpha 90.00
_cell_angle_beta 96.70
_cell_angle_gamma 90.00
_symmetry_space_group_name_H-M 'C 1 2/m 1'
_symmetry_Int_Tables_number 12
loop_
_symmetry_equiv_pos_as_xyz
'x,y,z'
'-x,-y,-z'
'-x,y,-z'
'x,-y,z'
'x+1/2,y+1/2,z'
'-x+1/2,-y+1/2,-z'
'-x+1/2,y+1/2,-z'
'x+1/2,-y+1/2,z'
loop_
_atom_site_label
_atom_site_fract_x
_atom_site_fract_y
_atom_site_fract_z
In1 0.0882 0.0000 0.2553
Ni1 0.0000 0.0000 0.0000
Ni2 0.1610 0.0000 0.4387
Ni3 0.2070 0.2495 0.8739
Sn1 0.0000 0.5000 0.0000
Sb1 0.1434 0.5000 0.3949

10.
# InNi7Sn2Sb2 PBE optimized geometry
# DFT total energy = -119.62 eV for the cell shown
# V = 16.87 Å³/atom
# Raw formation energy = -0.03 eV/atom
data_InNi7Sn2Sb2
_chemical_formula_sum 'In2 Ni14 Sn4 Sb4'
_cell_length_a 5.2224
_cell_length_b 5.2737
_cell_length_c 14.7746
_cell_angle_alpha 90.00
_cell_angle_beta 95.61
_cell_angle_gamma 90.00
_symmetry_space_group_name_H-M 'C 1 2/m 1'
_symmetry_Int_Tables_number 12
loop_
_symmetry_equiv_pos_as_xyz
'x,y,z'
'-x,-y,-z'
'-x,y,-z'
'x,-y,z'
'x+1/2,y+1/2,z'
'-x+1/2,-y+1/2,-z'
'-x+1/2,y+1/2,-z'
'x+1/2,-y+1/2,z'
loop_
_atom_site_label
_atom_site_fract_x
_atom_site_fract_y
_atom_site_fract_z
In1 0.0000 0.0000 0.0000
Ni1 0.0000 0.5000 0.0000
Ni2 0.1372 0.5000 0.4258
Ni3 0.2130 0.2507 0.8718
Sn1 0.0728 0.5000 0.2497
Sb1 0.1399 0.0000 0.4091

11.
# In2Ni4SnSb PBE optimized geometry
# DFT total energy = -143.61 eV for the cell shown
# V = 17.94 Å³/atom
# Raw formation energy = 0.10 eV/atom
data_In2Ni4SnSb
_chemical_formula_sum 'In8 Ni16 Sn4 Sb4'
_cell_length_a 6.0652
_cell_length_b 8.4882
_cell_length_c 11.1511
_cell_angle_alpha 90.00
_cell_angle_beta 90.00
_cell_angle_gamma 90.00
_symmetry_space_group_name_H-M 'I m m a'
_symmetry_Int_Tables_number 74
_symmetry_space_group_name_Hall '-I 2b 2'
loop_
_atom_site_label
_atom_site_fract_x
_atom_site_fract_y
_atom_site_fract_z
In1 0.0000 0.0000 0.0000
In2 0.2500 0.2500 0.2500
Ni1 0.0000 0.0039 0.7360
Ni2 0.2388 0.2500 0.5054
Sn1 0.2500 0.2500 0.7500
Sb1 0.0000 0.0000 0.5000

12.
# Sr2InNi4Sb3 PBE optimized geometry
# DFT total energy = -46.57 eV for the cell shown
# V = 20.96 Å³/atom
# Raw formation energy = -0.50 eV/atom
data_Sr2InNi4Sb3
_chemical_formula_sum 'Sr2 In1 Ni4 Sb3'
_cell_length_a 4.4842
_cell_length_b 4.4842
_cell_length_c 10.4234
_cell_angle_alpha 90.00
_cell_angle_beta 90.00
_cell_angle_gamma 90.00
_symmetry_space_group_name_H-M 'P -4 m 2'
_symmetry_Int_Tables_number 115
loop_
_symmetry_equiv_pos_as_xyz
'x,y,z'
'y,-x,-z'
'-x,-y,z'
'-y,x,-z'
'-x,y,z'
'-y,-x,-z'
'x,-y,z'
'y,x,-z'
loop_
_atom_site_label
_atom_site_fract_x
_atom_site_fract_y
_atom_site_fract_z
Sr1 0.0000 0.5000 0.2401
In1 0.0000 0.0000 0.5000
Ni1 0.0000 0.0000 0.0000
Ni2 0.0000 0.5000 0.6305
Ni3 0.5000 0.5000 0.0000
Sb1 0.0000 0.5000 0.8759
Sb2 0.5000 0.5000 0.5000

Which of these has the lowest V?
InNi4Sb

Among the records above, which one has the highest V?
In2NiSnSb